1.
Li3BiP PBE optimized geometry; relative energy among the computed polymorphs = 579 meV per atom; ΔE_f = 0.3453 eV per atom; density of states at the Fermi level = 1.6 states/eV/cell; energy = -2.661 eV per atom
1.0
5.290 0.000 0.000
0.000 5.290 0.000
0.000 0.000 5.290
Li Bi P
3 1 1
Cartesian
0.000 0.000 2.645 Li
0.000 2.645 0.000 Li
2.645 0.000 0.000 Li
0.000 0.000 0.000 Bi
2.645 2.645 2.645 P

2.
Li6BiP PBE optimized geometry; ΔE_f = -0.5566 eV per atom; density of states at the Fermi level = 0.0 states/eV/cell; energy = -3.153 eV per atom
1.0
2.255 1.302 7.341
-2.255 1.302 7.341
0.000 -2.604 7.341
Li Bi P
6 1 1
Cartesian
0.000 0.000 2.516 Li
0.000 0.000 5.387 Li
0.000 0.000 8.089 Li
0.000 0.000 13.935 Li
0.000 0.000 16.637 Li
0.000 0.000 19.508 Li
0.000 0.000 11.012 Bi
0.000 0.000 0.000 P

3.
Li2BiP2 PBE optimized geometry; relative energy among the computed polymorphs = 72 meV per atom; ΔE_f = -0.1812 eV per atom; density of states at the Fermi level = 4.1 states/eV/cell; energy = -3.887 eV per atom
1.0
7.796 0.000 0.000
0.000 7.796 0.000
0.000 0.000 3.059
Li Bi P
4 2 4
Cartesian
0.955 2.943 0.000 Li
2.943 6.841 0.000 Li
4.853 0.955 0.000 Li
6.841 4.853 0.000 Li
0.000 0.000 1.530 Bi
3.898 3.898 1.530 Bi
1.319 5.217 1.530 P
2.579 1.319 1.530 P
5.217 6.477 1.530 P
6.477 2.579 1.530 P

4.
LiBi3P PBE optimized geometry; relative energy among the computed polymorphs = 211 meV per atom; ΔE_f = 0.5698 eV per atom; density of states at the Fermi level = 3.7 states/eV/cell; energy = -3.223 eV per atom
1.0
5.103 0.000 0.000
0.000 5.103 0.000
0.000 0.000 5.103
Li Bi P
1 3 1
Cartesian
0.000 0.000 0.000 Li
0.000 0.000 2.551 Bi
0.000 2.551 0.000 Bi
2.551 0.000 0.000 Bi
2.551 2.551 2.551 P